(1)
The following is a SCAN calculation of a PBEsol-optimized structure of La2ZnCo, from Alexandria via LeMat-Bulk.

a b c (Å): 8.0843 8.0843 8.0843
angles (deg): 27.71 27.71 27.71
Positions (direct):
La1 0.2341 0.2341 0.2341
La2 0.7659 0.7659 0.7659
Zn1 0.0000 0.0000 0.0000
Co1 0.5000 0.5000 0.5000

Results
Its formation energy is 0.0 eV/f.u.

---

(2)
The following is a SCAN calculation of a PBEsol-optimized structure of MgTaIr, from Alexandria via LeMat-Bulk.

a b c (Å): 4.3078 4.3078 4.3078
angles (deg): 60.00 60.00 60.00
Positions (direct):
Mg1 0.0000 0.0000 0.0000
Ta1 0.5000 0.5000 0.5000
Ir1 0.2500 0.2500 0.2500

Results
Its formation energy is -0.8 eV/f.u.